(1)
{
  "formula": "Tm2TiSi2Rh5",
  "functional": "PBE",
  "state": "relaxed",
  "cell": [[-2.018, 2.574, 1.270], [-7.689, -5.742, -0.578], [1.654, -3.116, 8.943]],
  "species": ["Ti", "Ti", "Tm", "Tm", "Tm", "Tm", "Si", "Si", "Si", "Si", "Rh", "Rh", "Rh", "Rh", "Rh", "Rh", "Rh", "Rh", "Rh", "Rh"],
  "frac_coords": [[0.000, 0.000, 0.000], [0.000, 0.500, 0.500], [0.000, 0.326, 0.826], [0.000, 0.674, 0.174], [0.000, 0.174, 0.326], [0.000, 0.826, 0.674], [0.000, 0.124, 0.624], [0.000, 0.376, 0.124], [0.000, 0.876, 0.376], [0.000, 0.624, 0.876], [0.500, 0.500, 0.000], [0.500, 0.709, 0.431], [0.500, 0.209, 0.069], [0.500, 0.569, 0.709], [0.500, 0.069, 0.791], [0.500, 0.431, 0.291], [0.500, 0.791, 0.931], [0.500, 0.291, 0.569], [0.500, 0.931, 0.209], [0.500, 0.000, 0.500]],
  "dos_at_fermi_per_ev_atom": 0.3004,
  "formation_energy_uncorrected_ev_per_atom": -0.984,
  "spacegroup": "P4/mbm (127)",
  "crystal_system": "tetragonal"
}

(2)
{
  "formula": "TiVSiRh",
  "functional": "PBE",
  "state": "relaxed",
  "cell": [[-3.800, -1.111, 1.623], [-2.802, -2.164, -2.403], [-0.839, -4.106, 0.866]],
  "species": ["Rh", "Ti", "Si", "V"],
  "frac_coords": [[0.750, 0.750, 0.750], [0.000, 0.000, 0.000], [0.500, 0.500, 0.500], [0.250, 0.250, 0.250]],
  "dos_at_fermi_per_ev_atom": 0.9413,
  "formation_energy_uncorrected_ev_per_atom": -0.568,
  "spacegroup": "F-43m (216)",
  "crystal_system": "cubic"
}

(3)
{
  "formula": "TiSiRh2W",
  "functional": "PBE",
  "state": "relaxed",
  "cell": [[-1.056, 0.922, -4.460], [2.220, -3.859, -1.323], [-3.969, -2.433, 0.437]],
  "species": ["Rh", "Rh", "W", "Ti", "Si"],
  "frac_coords": [[0.500, 0.000, 0.000], [0.000, 0.000, 0.500], [0.000, 0.000, 0.000], [0.500, 0.500, 0.500], [0.000, 0.500, 0.000]],
  "dos_at_fermi_per_ev_atom": 0.8436,
  "formation_energy_uncorrected_ev_per_atom": 0.963,
  "spacegroup": "P4/mmm (123)",
  "crystal_system": "tetragonal"
}

(4)
{
  "formula": "TiSiRh2W",
  "functional": "PBE",
  "state": "relaxed",
  "cell": [[-2.205, -3.691, 1.891], [0.953, -2.547, -3.861], [4.037, -1.421, 1.934]],
  "species": ["Rh", "Rh", "W", "Ti", "Si"],
  "frac_coords": [[0.000, 0.000, 0.500], [0.500, 0.000, 0.000], [0.000, 0.000, 0.000], [0.000, 0.500, 0.000], [0.500, 0.500, 0.500]],
  "dos_at_fermi_per_ev_atom": 1.2268,
  "formation_energy_uncorrected_ev_per_atom": 1.203,
  "spacegroup": "P4/mmm (123)",
  "crystal_system": "tetragonal"
}